Record 1
VASP calculation (GGA-PBE) on crystalline RbTeO2 at its relaxed geometry.

Values from the calculation:
For the formation energy (no corrections), the calculation gives -71.31 kJ per mole of atoms. For the density of states at the Fermi level, the calculation gives 1.33 states/eV/f.u. As for the crystal system: trigonal. As for the calculated total energy: -4.246 eV per atom.

Unit cell a=7.8216 b=7.8216 c=7.8216 alpha=26.62 beta=26.62 gamma=26.62
Last column: nearest neighbours and their distance in Å.
Positions (direct):
Rb (0.0000, 0.0000, 0.0000)  6 O 2.77
Te (0.5000, 0.5000, 0.5000)  2 O 1.93
O (0.4145, 0.4145, 0.4145)  1 Te 1.93
O (0.5855, 0.5855, 0.5855)  1 Te 1.93

***

Record 2
VASP calculation (GGA-PBE) on crystalline LiZn2Te at its relaxed geometry.

Values from the calculation:
For the formation energy (no corrections), the calculation gives -9.62 kJ per mole of atoms. For the density of states at the Fermi level, the calculation gives 1.93 states/eV/f.u. As for the crystal system: tetragonal. As for the calculated total energy: -2.001 eV per atom.

Unit cell a=5.4261 b=5.4261 c=5.4261 alpha=134.77 beta=134.77 gamma=65.89
Last column: nearest neighbours and their distance in Å.
Positions (direct):
Li (0.0000, 0.0000, 0.0000)  8 Zn 2.95-3.09, 4 Te 3.09
Zn (0.5000, 0.5000, 0.0000)  4 Li 2.95, 4 Te 3.09, 4 Zn 3.09
Zn (0.7500, 0.2500, 0.5000)  4 Te 2.95, 4 Li 3.09, 4 Zn 3.09
Te (0.2500, 0.7500, 0.5000)  8 Zn 2.95-3.09, 4 Li 3.09

***

Record 3
VASP calculation (GGA-PBE) on crystalline La4In2Ni at its relaxed geometry.

Values from the calculation:
For the density of states at the Fermi level, the calculation gives 6.61 states/eV/f.u. As for the crystal system: tetragonal. As for the calculated total energy: -4.700 eV per atom. The calculated formation energy is -0.276 eV/atom.

Unit cell a=9.1689 b=9.1689 c=9.1689 alpha=146.61 beta=146.61 gamma=47.94
Last column: nearest neighbours and their distance in Å.
Positions (direct):
La (0.0000, 0.5000, 0.5000)  2 Ni 2.63
La (0.1797, 0.1797, 0.0000)  1 Ni 3.01, 1 In 3.18
La (0.5000, 0.0000, 0.5000)  2 Ni 2.63
La (0.8203, 0.8203, 0.0000)  1 Ni 3.01, 1 In 3.18
In (0.3694, 0.3694, 0.0000)  5 La 3.18-3.42
In (0.6306, 0.6306, 0.0000)  5 La 3.18-3.42
Ni (0.0000, 0.0000, 0.0000)  4 La 2.63

***

Which formula does entry 2 have? LiZn2Te

***

Please write out number 1 again, unchanged.
VASP calculation (GGA-PBE) on crystalline RbTeO2 at its relaxed geometry.

Values from the calculation:
For the formation energy (no corrections), the calculation gives -71.31 kJ per mole of atoms. For the density of states at the Fermi level, the calculation gives 1.33 states/eV/f.u. As for the crystal system: trigonal. As for the calculated total energy: -4.246 eV per atom.

Unit cell a=7.8216 b=7.8216 c=7.8216 alpha=26.62 beta=26.62 gamma=26.62
Last column: nearest neighbours and their distance in Å.
Positions (direct):
Rb (0.0000, 0.0000, 0.0000)  6 O 2.77
Te (0.5000, 0.5000, 0.5000)  2 O 1.93
O (0.4145, 0.4145, 0.4145)  1 Te 1.93
O (0.5855, 0.5855, 0.5855)  1 Te 1.93

***

The highest calculated total energy belongs to which entry? LiZn2Te